No. 1
{
  "formula": "MgMnNF2",
  "functional": "GGA+U",
  "state": "optimized geometry",
  "cell": [[3.965, 0.000, 0.000], [0.000, 3.965, 0.000], [0.000, 0.000, 4.023]],
  "species": ["Mn", "N", "Mg", "F", "F"],
  "frac_coords": [[0.000, 0.000, 0.000], [0.000, 0.000, 0.500], [0.500, 0.500, 0.500], [0.500, 0.000, 0.000], [0.000, 0.500, 0.000]],
  "sg": "No. 123",
  "dft_energy_ev_per_cell": -27.13,
  "vol_a3_per_atom": 12.651
}

No. 2
{
  "formula": "NaMgMnF6",
  "functional": "GGA+U",
  "state": "optimized geometry",
  "cell": [[-2.661, -1.535, -3.728], [4.023, -1.306, -2.334], [-0.520, -8.579, 3.903]],
  "species": ["F", "F", "F", "Mg", "F", "F", "Na", "Mg", "F", "F", "F", "F", "Na", "F", "F", "Mn", "F", "Mn"],
  "frac_coords": [[0.177, 0.823, 0.493], [0.823, 0.177, 0.493], [0.785, 0.215, 0.818], [0.500, 0.500, 0.169], [0.715, 0.715, 0.318], [0.203, 0.797, 0.188], [0.500, 0.500, 0.500], [0.000, 0.000, 0.669], [0.323, 0.323, 0.993], [0.297, 0.297, 0.688], [0.215, 0.785, 0.818], [0.703, 0.703, 0.688], [0.000, 0.000, 0.000], [0.677, 0.677, 0.993], [0.285, 0.285, 0.318], [0.500, 0.500, 0.833], [0.797, 0.203, 0.188], [0.000, 0.000, 0.333]],
  "sg": "No. 102",
  "dft_energy_ev_per_cell": -92.81,
  "vol_a3_per_atom": 12.238
}

No. 3
{
  "formula": "NaMgMn2F6",
  "functional": "GGA+U",
  "state": "optimized geometry",
  "cell": [[5.658, 0.000, 0.001], [2.829, 4.900, 0.001], [2.829, 1.634, 4.908]],
  "species": ["Mn", "Mn", "F", "F", "Na", "F", "F", "Mg", "F", "F"],
  "frac_coords": [[0.015, 0.015, 0.954], [0.536, 0.536, 0.392], [0.976, 0.589, 0.245], [0.382, 0.704, 0.762], [0.798, 0.798, 0.607], [0.589, 0.191, 0.245], [0.704, 0.152, 0.762], [0.319, 0.319, 0.042], [0.190, 0.976, 0.245], [0.152, 0.382, 0.762]],
  "sg": "No. 146",
  "dft_energy_ev_per_cell": -55.16,
  "vol_a3_per_atom": 13.608
}

No. 4
{
  "formula": "Na2MgMnF6",
  "functional": "GGA+U",
  "state": "optimized geometry",
  "cell": [[5.504, 0.000, -0.020], [0.000, 5.700, 0.000], [0.020, 0.000, 7.949]],
  "species": ["Na", "Mn", "F", "Mg", "F", "F", "F", "F", "Mn", "F", "F", "F", "F", "F", "Mg", "F", "F", "Na", "Na", "Na"],
  "frac_coords": [[0.515, 0.554, 0.751], [0.000, 0.500, 0.500], [0.392, 0.957, 0.741], [0.500, 0.000, 0.500], [0.108, 0.457, 0.759], [0.811, 0.792, 0.941], [0.892, 0.543, 0.241], [0.689, 0.292, 0.559], [0.500, 0.000, 0.000], [0.705, 0.307, 0.945], [0.795, 0.807, 0.555], [0.608, 0.043, 0.259], [0.295, 0.693, 0.055], [0.311, 0.708, 0.441], [0.000, 0.500, 0.000], [0.205, 0.193, 0.445], [0.189, 0.208, 0.059], [0.985, 0.054, 0.749], [0.485, 0.446, 0.249], [0.015, 0.946, 0.251]],
  "sg": "No. 14",
  "dft_energy_ev_per_cell": -105.52,
  "vol_a3_per_atom": 12.469
}

No. 5
{
  "formula": "MgMnNiF6",
  "functional": "GGA+U",
  "state": "optimized geometry",
  "cell": [[5.197, 0.000, 0.000], [-2.598, 4.501, 0.000], [0.000, 0.000, 9.268]],
  "species": ["Mn", "F", "F", "F", "F", "F", "F", "Mg", "F", "F", "F", "F", "Ni", "Ni", "Mg", "Mn", "F", "F"],
  "frac_coords": [[0.000, 0.000, 0.500], [0.003, 0.658, 0.866], [0.997, 0.342, 0.134], [0.345, 0.003, 0.134], [0.655, 0.658, 0.634], [0.342, 0.997, 0.634], [0.997, 0.655, 0.366], [0.667, 0.333, 0.250], [0.658, 0.655, 0.134], [0.655, 0.997, 0.866], [0.003, 0.345, 0.634], [0.342, 0.345, 0.866], [0.667, 0.333, 0.750], [0.333, 0.667, 0.250], [0.333, 0.667, 0.750], [0.000, 0.000, 0.000], [0.658, 0.003, 0.366], [0.345, 0.342, 0.366]],
  "sg": "No. 163",
  "dft_energy_ev_per_cell": -95.94,
  "vol_a3_per_atom": 12.043
}

No. 6
{
  "formula": "MgMn6O5F7",
  "functional": "GGA+U",
  "state": "optimized geometry",
  "cell": [[-6.041, 1.685, 0.043], [-3.881, -3.177, -3.766], [-2.415, -4.424, 4.279]],
  "species": ["F", "Mn", "O", "Mn", "F", "F", "O", "Mg", "F", "Mn", "F", "Mn", "F", "F", "Mn", "Mn", "O", "O", "O"],
  "frac_coords": [[0.944, 0.628, 0.179], [0.015, 0.287, 0.361], [0.956, 0.212, 0.103], [0.713, 0.985, 0.639], [0.377, 0.260, 0.159], [0.566, 0.877, 0.449], [0.285, 0.627, 0.816], [0.588, 0.412, 0.000], [0.740, 0.623, 0.841], [0.592, 0.890, 0.113], [0.372, 0.056, 0.821], [0.107, 0.893, 0.000], [0.123, 0.434, 0.551], [0.626, 0.374, 0.500], [0.110, 0.408, 0.887], [0.320, 0.680, 0.500], [0.031, 0.969, 0.500], [0.788, 0.044, 0.897], [0.373, 0.715, 0.184]],
  "sg": "No. 5",
  "dft_energy_ev_per_cell": -126.53,
  "vol_a3_per_atom": 11.921
}

No. 7
{
  "formula": "MgMn8O13F3",
  "functional": "GGA+U",
  "state": "optimized geometry",
  "cell": [[-2.079, -4.761, -2.248], [6.164, -1.408, -2.701], [2.116, -3.656, 5.515]],
  "species": ["Mn", "Mn", "O", "O", "F", "O", "O", "O", "Mn", "Mn", "O", "O", "F", "O", "O", "Mg", "O", "Mn", "Mn", "Mn", "O", "F", "Mn", "O", "O"],
  "frac_coords": [[0.864, 0.130, 0.120], [0.874, 0.617, 0.650], [0.374, 0.438, 0.164], [0.917, 0.878, 0.695], [0.402, 0.928, 0.641], [0.854, 0.419, 0.175], [0.116, 0.112, 0.316], [0.594, 0.674, 0.387], [0.352, 0.888, 0.360], [0.111, 0.396, 0.358], [0.114, 0.144, 0.919], [0.124, 0.581, 0.834], [0.353, 0.326, 0.577], [0.099, 0.655, 0.433], [0.861, 0.355, 0.566], [0.595, 0.372, 0.381], [0.389, 0.838, 0.090], [0.356, 0.360, 0.884], [0.171, 0.862, 0.880], [0.718, 0.099, 0.650], [0.607, 0.575, 0.845], [0.875, 0.833, 0.087], [0.623, 0.639, 0.109], [0.624, 0.168, 0.906], [0.642, 0.085, 0.354]],
  "sg": "No. 1",
  "dft_energy_ev_per_cell": -172.15,
  "vol_a3_per_atom": 10.788
}

No. 8
{
  "formula": "MgMnOF2",
  "functional": "GGA+U",
  "state": "optimized geometry",
  "cell": [[-1.910, -2.863, 2.147], [2.051, -2.870, -2.002], [2.931, 0.143, 2.797]],
  "species": ["F", "O", "Mn", "F", "Mg"],
  "frac_coords": [[0.500, 0.000, 0.000], [0.000, 0.000, 0.500], [0.000, 0.000, 0.000], [0.000, 0.500, 0.000], [0.500, 0.500, 0.500]],
  "sg": "No. 123",
  "dft_energy_ev_per_cell": -27.50,
  "vol_a3_per_atom": 13.337
}

No. 9
{
  "formula": "MgMn8O13F3",
  "functional": "GGA+U",
  "state": "optimized geometry",
  "cell": [[5.727, -0.003, -0.007], [-0.144, 6.634, 0.002], [-0.635, -0.402, 7.077]],
  "species": ["O", "Mn", "O", "Mn", "O", "Mn", "O", "O", "Mn", "O", "O", "F", "O", "F", "O", "Mn", "Mn", "Mg", "O", "O", "Mn", "O", "F", "Mn", "O"],
  "frac_coords": [[0.135, 0.322, 0.900], [0.845, 0.633, 0.375], [0.107, 0.832, 0.402], [0.710, 0.614, 0.865], [0.115, 0.926, 0.873], [0.361, 0.861, 0.592], [0.890, 0.668, 0.110], [0.378, 0.108, 0.176], [0.122, 0.364, 0.618], [0.077, 0.419, 0.364], [0.618, 0.846, 0.409], [0.865, 0.093, 0.133], [0.360, 0.153, 0.597], [0.391, 0.655, 0.068], [0.623, 0.903, 0.813], [0.317, 0.398, 0.165], [0.877, 0.125, 0.860], [0.402, 0.122, 0.889], [0.897, 0.577, 0.641], [0.594, 0.421, 0.340], [0.642, 0.134, 0.381], [0.659, 0.334, 0.902], [0.379, 0.575, 0.668], [0.141, 0.875, 0.140], [0.887, 0.162, 0.600]],
  "sg": "No. 1",
  "dft_energy_ev_per_cell": -172.58,
  "vol_a3_per_atom": 10.754
}

No. 10
{
  "formula": "MgMn6O5F7",
  "functional": "GGA+U",
  "state": "optimized geometry",
  "cell": [[5.989, 0.017, 0.009], [1.776, 5.874, 0.007], [2.685, 2.324, 6.880]],
  "species": ["F", "F", "O", "Mn", "Mg", "Mn", "F", "F", "O", "O", "Mn", "O", "Mn", "Mn", "F", "Mn", "F", "O", "F"],
  "frac_coords": [[0.665, 0.325, 0.046], [0.379, 0.027, 0.355], [0.444, 0.482, 0.397], [0.639, 0.726, 0.863], [0.651, 0.191, 0.333], [0.284, 0.311, 0.104], [0.059, 0.589, 0.703], [0.059, 0.075, 0.717], [0.747, 0.789, 0.065], [0.897, 0.895, 0.292], [0.676, 0.676, 0.346], [0.626, 0.048, 0.629], [0.019, 0.941, 0.514], [0.354, 0.309, 0.670], [0.946, 0.323, 0.314], [0.992, 0.971, 0.005], [0.606, 0.574, 0.634], [0.241, 0.150, 0.945], [0.279, 0.671, 0.985]],
  "sg": "No. 1",
  "dft_energy_ev_per_cell": -126.43,
  "vol_a3_per_atom": 12.719
}

No. 11
{
  "formula": "MgMn8O8F8",
  "functional": "GGA+U",
  "state": "optimized geometry",
  "cell": [[4.819, -0.006, -0.004], [-0.019, 4.877, 0.030], [-0.037, 0.010, 12.593]],
  "species": ["Mn", "O", "Mg", "F", "F", "O", "Mn", "O", "F", "F", "O", "O", "F", "Mn", "Mn", "O", "F", "O", "Mn", "F", "Mn", "Mn", "Mn", "O", "F"],
  "frac_coords": [[0.456, 0.477, 0.393], [0.159, 0.228, 0.122], [0.960, 0.481, 0.253], [0.720, 0.283, 0.757], [0.777, 0.774, 0.628], [0.331, 0.709, 0.755], [0.293, 0.012, 0.252], [0.147, 0.234, 0.372], [0.678, 0.206, 0.239], [0.268, 0.737, 0.501], [0.342, 0.620, 0.249], [0.834, 0.829, 0.879], [0.790, 0.710, 0.367], [0.459, 0.489, 0.634], [0.474, 0.477, 0.110], [0.179, 0.207, 0.643], [0.297, 0.771, 0.006], [0.613, 0.308, 0.511], [0.032, 0.995, 0.756], [0.807, 0.721, 0.136], [0.965, 0.056, 0.510], [0.972, 0.050, 0.998], [0.533, 0.550, 0.872], [0.671, 0.328, 0.993], [0.215, 0.261, 0.880]],
  "sg": "No. 1",
  "dft_energy_ev_per_cell": -167.00,
  "vol_a3_per_atom": 11.837
}

No. 12
{
  "formula": "MgMn8O8F8",
  "functional": "GGA+U",
  "state": "optimized geometry",
  "cell": [[-0.362, -4.899, -0.584], [3.969, -0.707, 2.605], [-7.043, -0.289, 10.283]],
  "species": ["O", "Mn", "F", "F", "F", "Mn", "Mn", "Mn", "F", "O", "O", "O", "F", "Mn", "O", "Mn", "Mn", "F", "O", "Mn", "O", "F", "F", "O", "Mg"],
  "frac_coords": [[0.297, 0.652, 0.007], [0.506, 0.527, 0.139], [0.740, 0.293, 0.506], [0.208, 0.190, 0.386], [0.262, 0.704, 0.744], [0.540, 0.529, 0.624], [0.005, 0.933, 0.000], [0.023, 0.968, 0.505], [0.264, 0.712, 0.254], [0.825, 0.823, 0.624], [0.810, 0.811, 0.391], [0.700, 0.327, 0.748], [0.718, 0.824, 0.882], [0.975, 0.027, 0.745], [0.685, 0.352, 0.259], [0.936, 0.013, 0.262], [0.444, 0.463, 0.863], [0.263, 0.171, 0.116], [0.197, 0.125, 0.887], [0.523, 0.535, 0.385], [0.767, 0.837, 0.115], [0.224, 0.197, 0.622], [0.736, 0.304, 0.998], [0.331, 0.686, 0.506], [0.495, 0.999, 0.001]],
  "sg": "No. 1",
  "dft_energy_ev_per_cell": -165.00,
  "vol_a3_per_atom": 11.831
}